(1)
The following is a DFT calculation (PBE) of a relaxed Cs3PrEr2Te6 crystal.

Cell lengths 7.946, 7.946, 9.313 Å; angles 98.19, 98.19, 119.99 degrees
Sites, in units of the cell vectors:
Cs1 0.000 0.000 0.000
Cs2 0.336 0.664 0.000
Cs3 0.664 0.336 0.000
Pr1 0.500 0.500 0.500
Er1 0.167 0.833 0.500
Er2 0.833 0.167 0.500
Te1 0.092 0.436 0.309
Te2 0.219 0.219 0.690
Te3 0.436 0.092 0.309
Te4 0.564 0.908 0.691
Te5 0.781 0.781 0.310
Te6 0.908 0.564 0.691

Properties
Space-group type: C2/m, No. 12
Total moment, μB per cell: 0.0
DFT total energy, eV/cell: -51.91
Volume, Å³/cell: 488
Formation energy (no corrections), eV per atom: -1.383

***

(2)
The following is a DFT calculation (PBE) of a relaxed Cs4Pr3ErTe8 crystal.

Cell lengths 10.442, 10.442, 10.442 Å; angles 53.06, 53.06, 53.06 degrees
Sites, in units of the cell vectors:
Cs1 0.000 0.000 0.000
Cs2 0.000 0.500 0.500
Cs3 0.500 0.000 0.500
Cs4 0.500 0.500 0.000
Pr1 0.000 0.000 0.500
Pr2 0.000 0.500 0.000
Pr3 0.500 0.000 0.000
Er1 0.500 0.500 0.500
Te1 0.233 0.233 0.233
Te2 0.241 0.726 0.726
Te3 0.274 0.274 0.759
Te4 0.274 0.759 0.274
Te5 0.726 0.241 0.726
Te6 0.726 0.726 0.241
Te7 0.759 0.274 0.274
Te8 0.767 0.767 0.767

Properties
Space-group type: R-3m, No. 166
Total moment, μB per cell: 0.0
DFT total energy, eV/cell: -69.89
Volume, Å³/cell: 674
Formation energy (no corrections), eV per atom: -1.403

***

(3)
The following is a DFT calculation (PBE) of a relaxed Cs2ErPu2S6 crystal.

Cell lengths 7.005, 7.005, 8.535 Å; angles 97.75, 97.75, 120.01 degrees
Sites, in units of the cell vectors:
Cs1 0.166 0.834 0.000
Cs2 0.834 0.166 0.000
Er1 0.000 0.000 0.500
Pu1 0.334 0.666 0.500
Pu2 0.666 0.334 0.500
S1 0.056 0.392 0.674
S2 0.276 0.276 0.326
S3 0.392 0.056 0.674
S4 0.608 0.944 0.326
S5 0.724 0.724 0.674
S6 0.944 0.608 0.326

Properties
Space-group type: C2/m, No. 12
Total moment, μB per cell: 9.0
D(E_F), states/eV per cell: 16.70
DFT total energy, eV/cell: -77.99
Volume, Å³/cell: 349
Formation energy (no corrections), eV per atom: -1.663

***

(4)
The following is a DFT calculation (PBE) of a relaxed Cs3Er2PuSe6 crystal.

Cell lengths 7.421, 7.421, 8.707 Å; angles 98.17, 98.17, 120.00 degrees
Sites, in units of the cell vectors:
Cs1 0.000 0.000 0.000
Cs2 0.334 0.666 0.000
Cs3 0.666 0.334 0.000
Er1 0.167 0.833 0.500
Er2 0.833 0.167 0.500
Pu1 0.500 0.500 0.500
Se1 0.099 0.439 0.316
Se2 0.222 0.222 0.684
Se3 0.439 0.099 0.316
Se4 0.561 0.901 0.684
Se5 0.778 0.778 0.316
Se6 0.901 0.561 0.684

Properties
Space-group type: C2/m, No. 12
Total moment, μB per cell: 5.0
D(E_F), states/eV per cell: 13.06
DFT total energy, eV/cell: -66.22
Volume, Å³/cell: 398
Formation energy (no corrections), eV per atom: -1.608

***

(5)
The following is a DFT calculation (PBE) of a relaxed Cs2ErPuSe4 crystal.

Cell lengths 7.458, 4.291, 8.704 Å; angles 90.00, 106.51, 90.00 degrees
Sites, in units of the cell vectors:
Cs1 0.000 0.000 0.000
Cs2 0.500 0.500 0.000
Er1 0.000 0.500 0.500
Pu1 0.500 0.000 0.500
Se1 0.222 0.000 0.684
Se2 0.267 0.500 0.316
Se3 0.733 0.500 0.684
Se4 0.778 0.000 0.316

Properties
Space-group type: P2/m, No. 10
Total moment, μB per cell: 5.0
D(E_F), states/eV per cell: 12.05
DFT total energy, eV/cell: -47.05
Volume, Å³/cell: 267
Formation energy (no corrections), eV per atom: -1.564

***

(6)
The following is a DFT calculation (PBE) of a relaxed Cs2Er2PuSe6 crystal.

Cell lengths 7.210, 7.210, 8.930 Å; angles 97.88, 97.88, 120.03 degrees
Sites, in units of the cell vectors:
Cs1 0.168 0.832 0.000
Cs2 0.832 0.168 0.000
Er1 0.333 0.667 0.500
Er2 0.667 0.333 0.500
Pu1 0.000 0.000 0.500
Se1 0.062 0.392 0.681
Se2 0.270 0.270 0.319
Se3 0.392 0.062 0.681
Se4 0.608 0.938 0.319
Se5 0.730 0.730 0.681
Se6 0.938 0.608 0.319

Properties
Space-group type: C2/m, No. 12
Total moment, μB per cell: 4.0
D(E_F), states/eV per cell: 9.07
DFT total energy, eV/cell: -63.75
Volume, Å³/cell: 386
Formation energy (no corrections), eV per atom: -1.607